1.
A plane-wave DFT calculation with PBE was carried out for a relaxed structure of LiRhSe.

Cell and atoms, written as extended XYZ:
```
3
Lattice="4.209 0.000 0.000 -2.104 3.645 0.000 0.000 0.000 3.076" Properties=species:S:1:pos:R:3 pbc="T T T"
Li 0.000 0.000 0.000
Rh 2.104 1.215 1.538
Se 0.000 2.430 1.538
```

- Magnetic moment: 0.00 μB per cell
- Relative energy among the computed polymorphs: 0.0 meV/atom
- E_form (uncorrected): -129 kJ/mol of formula units
- E_tot: -14.09 eV per cell

=====

2.
A plane-wave DFT calculation with PBE was carried out for a relaxed structure of BaAl2Hg.

Cell and atoms, written as extended XYZ:
```
4
Lattice="3.906 -3.897 0.000 3.906 3.897 0.000 -2.868 0.000 3.776" Properties=species:S:1:pos:R:3 pbc="T T T"
Ba 0.000 0.000 0.000
Al 2.473 1.453 1.888
Al 2.473 -1.453 1.888
Hg 3.906 0.000 0.000
```

- Magnetic moment: 0.00 μB per cell
- Calculated formation energy: 0.02 eV per atom
- E_tot: -9.61 eV per cell

=====

3.
A plane-wave DFT calculation with PBE was carried out for a relaxed structure of SiAuCl3.

Cell and atoms, written as extended XYZ:
```
5
Lattice="4.855 0.000 0.000 0.000 4.855 0.000 0.000 0.000 4.855" Properties=species:S:1:pos:R:3 pbc="T T T"
Si 0.000 0.000 0.000
Au 2.427 2.427 2.427
Cl 0.000 0.000 2.427
Cl 0.000 2.427 0.000
Cl 2.427 0.000 0.000
```

- Magnetic moment: 0.00 μB per cell
- Relative energy among the computed polymorphs: 0.0 meV/atom
- E_form (uncorrected): -16 kJ/mol of formula units
- E_tot: -14.40 eV per cell

=====

4.
A plane-wave DFT calculation with PBE was carried out for a relaxed structure of NaBi3Se.

Cell and atoms, written as extended XYZ:
```
5
Lattice="5.488 0.000 0.000 0.000 5.488 0.000 0.000 0.000 5.488" Properties=species:S:1:pos:R:3 pbc="T T T"
Na 0.000 0.000 0.000
Bi 0.000 0.000 2.744
Bi 0.000 2.744 0.000
Bi 2.744 0.000 0.000
Se 2.744 2.744 2.744
```

- Magnetic moment: 0.00 μB per cell
- Relative energy among the computed polymorphs: 512.2 meV/atom
- E_form (uncorrected): 373 kJ/mol of formula units
- E_tot: -12.58 eV per cell

=====

5.
A plane-wave DFT calculation with PBE was carried out for a relaxed structure of HgBi3Pt.

Cell and atoms, written as extended XYZ:
```
5
Lattice="5.491 0.000 0.000 0.000 5.491 0.000 0.000 0.000 5.491" Properties=species:S:1:pos:R:3 pbc="T T T"
Hg 0.000 0.000 0.000
Bi 0.000 2.745 2.745
Bi 2.745 0.000 2.745
Bi 2.745 2.745 0.000
Pt 2.745 2.745 2.745
```

- Magnetic moment: 0.00 μB per cell
- Relative energy among the computed polymorphs: 363.0 meV/atom
- Calculated formation energy: 0.33 eV per atom
- E_tot: -16.34 eV per cell

=====

6.
A plane-wave DFT calculation with PBE was carried out for a relaxed structure of K2InCuH6.

Cell and atoms, written as extended XYZ:
```
10
Lattice="0.000 3.946 3.963 3.934 0.000 3.963 3.934 3.946 0.000" Properties=species:S:1:pos:R:3 pbc="T T T"
K 1.967 1.973 1.981
K 5.901 5.919 5.944
In 0.000 0.000 0.000
Cu 3.934 3.946 3.963
H 3.934 3.946 2.112
H 3.934 2.115 3.963
H 5.752 3.946 3.963
H 2.116 3.946 3.963
H 3.934 5.777 3.963
H 3.934 3.946 5.813
```

- Magnetic moment: 0.00 μB per cell
- E_tot: -29.32 eV per cell

=====

7.
A plane-wave DFT calculation with PBE was carried out for a relaxed structure of CsLiSbBr6.

Cell and atoms, written as extended XYZ:
```
9
Lattice="7.148 0.000 0.000 -3.574 6.190 0.000 0.000 0.000 8.193" Properties=species:S:1:pos:R:3 pbc="T T T"
Cs 0.000 0.000 0.000
Li 0.000 4.127 4.097
Sb 3.574 2.063 4.097
Br 2.679 0.024 5.674
Br 1.360 2.308 2.519
Br 4.470 0.024 2.519
Br 2.255 3.859 5.674
Br 5.788 2.308 5.674
Br 4.893 3.859 2.519
```

- Magnetic moment: 0.00 μB per cell
- E_form (uncorrected): -870 kJ/mol of formula units
- E_tot: -25.94 eV per cell

=====

8.
A plane-wave DFT calculation with PBE was carried out for a relaxed structure of Nb2Te4Pb.

Cell and atoms, written as extended XYZ:
```
14
Lattice="-4.280 4.280 6.421 4.280 -4.280 6.421 4.280 4.280 -6.421" Properties=species:S:1:pos:R:3 pbc="T T T"
Nb 0.000 0.000 0.000
Nb 2.140 2.140 -3.210
Nb 2.140 -2.140 3.210
Nb 0.000 4.280 0.000
Te 4.280 4.053 -3.541
Te 1.913 2.140 -0.330
Te 2.367 -2.140 6.091
Te 4.280 -0.227 3.541
Te 0.000 4.507 2.880
Te 1.913 6.419 0.330
Te 2.367 2.140 6.751
Te 0.000 0.227 9.961
Pb 4.280 2.140 1.605
Pb 0.000 2.140 4.816
```

- Magnetic moment: 8.01 μB per cell
- E_form (uncorrected): -76 kJ/mol of formula units
- E_tot: -74.40 eV per cell